(1)
Here is an optimized crystal structure of Ti2Cd2Cu from Alexandria. Energies are from PBE.

Cell and atoms, written as POSCAR:
```
Ti2Cd2Cu
1.0
-3.5189 -2.3846 -4.9172
4.4063 -4.6974 -0.8753
-2.2964 -2.7047 2.9550
Ti Cd Cu
4 4 2
direct
0.3631 0.8631 0.0000 Ti
0.1369 0.3631 0.0000 Ti
0.8631 0.6369 0.0000 Ti
0.6369 0.1369 0.0000 Ti
0.8366 0.3366 0.5000 Cd
0.6634 0.8366 0.5000 Cd
0.1634 0.6634 0.5000 Cd
0.3366 0.1634 0.5000 Cd
0.5000 0.5000 0.0000 Cu
0.0000 0.0000 0.0000 Cu
```

Values from the calculation:
Crystal system: tetragonal
SG: P4/mbm, No. 127
E_form, eV/atom: 0.340
Energy above the lowest structure with this stoichiometry, eV/atom: 0.024

---

(2)
Here is an optimized crystal structure of Gd2GeAu from Alexandria. Energies are from PBE.

Cell and atoms, written as POSCAR:
```
Gd2GeAu
1.0
3.6974 0.0000 0.0000
0.0000 5.0849 0.0000
0.0000 0.0000 5.0849
Gd Au Ge
2 1 1
direct
0.0000 0.0000 0.5000 Gd
0.0000 0.5000 0.0000 Gd
0.5000 0.5000 0.5000 Au
0.5000 0.0000 0.0000 Ge
```

Values from the calculation:
Crystal system: tetragonal
SG: P4/mmm, No. 123
E_form, eV/atom: -0.771
Energy above the lowest structure with this stoichiometry, eV/atom: 0.019